Below is an optimized crystal structure of BeTl2Mo, with properties calculated at the PBE-GGA level.

POSCAR file:
```
BeTl2Mo
1.0
5.604 -1.475 0.000
5.604 1.475 0.000
-1.490 0.000 4.754
Be Tl Mo
1 2 1
Direct
0.000 0.000 0.000 Be
0.208 0.208 0.806 Tl
0.424 0.424 0.443 Tl
0.665 0.665 0.281 Mo
```

## Properties
- Energy of formation: 0.6716 eV per atom
- Final energy: -16.60 eV for the cell shown
- Energy above the lowest structure with this stoichiometry: 0.43 eV/f.u.



Below is an optimized crystal structure of Be2TlMo, with properties calculated at the PBE-GGA level.

POSCAR file:
```
Be2TlMo
1.0
3.998 0.000 0.000
0.000 3.998 0.000
0.000 0.000 3.478
Be Tl Mo
2 1 1
Direct
0.000 0.500 0.000 Be
0.500 0.000 0.000 Be
0.000 0.000 0.500 Tl
0.500 0.500 0.500 Mo
```

## Properties
- Energy of formation: 0.4501 eV per atom
- Final energy: -18.85 eV for the cell shown
- Energy above the lowest structure with this stoichiometry: 0.18 eV/f.u.



Below is an optimized crystal structure of Be2TlMo, with properties calculated at the PBE-GGA level.

POSCAR file:
```
Be2TlMo
1.0
1.457 0.841 8.429
-1.457 0.841 8.429
0.000 -1.683 8.429
Be Tl Mo
2 1 1
Direct
0.000 0.000 0.000 Be
0.270 0.270 0.270 Be
0.512 0.512 0.512 Tl
0.744 0.744 0.744 Mo
```

## Properties
- Energy of formation: 0.7924 eV per atom
- Final energy: -17.48 eV for the cell shown
- Energy above the lowest structure with this stoichiometry: 1.55 eV/f.u.



Below is an optimized crystal structure of Be2TlMo, with properties calculated at the PBE-GGA level.

POSCAR file:
```
Be2TlMo
1.0
0.000 3.111 3.111
3.111 0.000 3.111
3.111 3.111 0.000
Be Tl Mo
2 1 1
Direct
0.000 0.000 0.000 Be
0.250 0.250 0.250 Be
0.500 0.500 0.500 Tl
0.750 0.750 0.750 Mo
```

## Properties
- Energy of formation: 0.9650 eV per atom
- Final energy: -16.79 eV for the cell shown
- Energy above the lowest structure with this stoichiometry: 2.24 eV/f.u.



Below is an optimized crystal structure of BeTl2Mo, with properties calculated at the PBE-GGA level.

POSCAR file:
```
BeTl2Mo
1.0
3.821 0.000 0.000
0.000 1.989 5.224
0.000 -1.989 5.224
Be Tl Mo
1 2 1
Direct
0.000 0.000 0.000 Be
0.000 0.295 0.295 Tl
0.500 0.581 0.581 Tl
0.500 0.865 0.865 Mo
```

## Properties
- Energy of formation: 0.6620 eV per atom
- Final energy: -16.64 eV for the cell shown
- Energy above the lowest structure with this stoichiometry: 0.39 eV/f.u.



Below is an optimized crystal structure of Be2TlMo, with properties calculated at the PBE-GGA level.

POSCAR file:
```
Be2TlMo
1.0
-1.486 2.336 4.416
1.486 -2.336 4.416
1.486 2.336 -4.416
Be Tl Mo
2 1 1
Direct
0.231 0.231 0.000 Be
0.769 0.769 0.000 Be
0.500 0.000 0.500 Tl
0.000 0.500 0.500 Mo
```

## Properties
- Energy of formation: 0.7414 eV per atom
- Final energy: -17.68 eV for the cell shown
- Energy above the lowest structure with this stoichiometry: 1.34 eV/f.u.



Below is an optimized crystal structure of BeTl2Mo, with properties calculated at the PBE-GGA level.

POSCAR file:
```
BeTl2Mo
1.0
1.673 -2.594 0.000
1.673 2.594 0.000
0.000 0.000 8.895
Be Tl Mo
1 2 1
Direct
0.000 0.000 0.000 Be
0.500 0.500 0.232 Tl
0.500 0.500 0.768 Tl
0.000 0.000 0.500 Mo
```

## Properties
- Energy of formation: 0.9269 eV per atom
- Final energy: -15.58 eV for the cell shown
- Energy above the lowest structure with this stoichiometry: 1.45 eV/f.u.



Below is an optimized crystal structure of Be2TlMo, with properties calculated at the PBE-GGA level.

POSCAR file:
```
Be2TlMo
1.0
4.705 -1.432 0.000
4.705 1.432 0.000
-1.379 0.000 4.201
Be Tl Mo
2 1 1
Direct
0.000 0.000 0.000 Be
0.704 0.704 0.304 Be
0.469 0.469 0.491 Tl
0.252 0.252 0.859 Mo
```

## Properties
- Energy of formation: 0.5351 eV per atom
- Final energy: -18.51 eV for the cell shown
- Energy above the lowest structure with this stoichiometry: 0.52 eV/f.u.



Below is an optimized crystal structure of Be2TlMo, with properties calculated at the PBE-GGA level.

POSCAR file:
```
Be2TlMo
1.0
2.967 0.000 0.000
0.000 2.967 0.000
0.000 0.000 6.586
Be Tl Mo
2 1 1
Direct
0.000 0.000 0.000 Be
0.500 0.500 0.148 Be
0.500 0.500 0.699 Tl
0.000 0.000 0.360 Mo
```

## Properties
- Energy of formation: 0.5542 eV per atom
- Final energy: -18.43 eV for the cell shown
- Energy above the lowest structure with this stoichiometry: 0.60 eV/f.u.



Below is an optimized crystal structure of BeTl2Mo, with properties calculated at the PBE-GGA level.

POSCAR file:
```
BeTl2Mo
1.0
5.319 -1.566 0.000
5.319 1.566 0.000
-2.411 0.000 4.466
Be Tl Mo
1 2 1
Direct
0.000 0.000 0.000 Be
0.279 0.279 0.779 Tl
0.721 0.721 0.221 Tl
0.500 0.500 0.500 Mo
```

## Properties
- Energy of formation: 0.9030 eV per atom
- Final energy: -15.68 eV for the cell shown
- Energy above the lowest structure with this stoichiometry: 1.36 eV/f.u.



Below is an optimized crystal structure of Be2TlMo, with properties calculated at the PBE-GGA level.

POSCAR file:
```
Be2TlMo
1.0
-3.301 3.301 2.783
3.301 -3.301 2.783
3.301 3.301 -2.783
Be Tl Mo
4 2 2
Direct
0.114 0.125 0.489 Be
0.375 0.886 0.011 Be
0.636 0.625 0.511 Be
0.875 0.364 0.989 Be
0.250 0.750 0.500 Tl
0.500 0.500 0.000 Tl
0.000 0.000 0.000 Mo
0.750 0.250 0.500 Mo
```

## Properties
- Energy of formation: 0.8215 eV per atom
- Final energy: -34.73 eV for the cell shown
- Energy above the lowest structure with this stoichiometry: 1.66 eV/f.u.



Below is an optimized crystal structure of BeTl2Mo, with properties calculated at the PBE-GGA level.

POSCAR file:
```
BeTl2Mo
1.0
1.578 0.911 8.762
-1.578 0.911 8.762
0.000 -1.822 8.762
Be Tl Mo
1 2 1
Direct
0.000 0.000 0.000 Be
0.257 0.257 0.257 Tl
0.743 0.743 0.743 Tl
0.500 0.500 0.500 Mo
```

## Properties
- Energy of formation: 0.8478 eV per atom
- Final energy: -15.90 eV for the cell shown
- Energy above the lowest structure with this stoichiometry: 1.14 eV/f.u.



Below is an optimized crystal structure of BeTl2Mo, with properties calculated at the PBE-GGA level.

POSCAR file:
```
BeTl2Mo
1.0
0.000 3.464 3.464
3.464 0.000 3.464
3.464 3.464 0.000
Be Tl Mo
1 2 1
Direct
0.000 0.000 0.000 Be
0.500 0.500 0.500 Tl
0.750 0.750 0.750 Tl
0.250 0.250 0.250 Mo
```

## Properties
- Energy of formation: 1.1584 eV per atom
- Final energy: -14.66 eV for the cell shown
- Energy above the lowest structure with this stoichiometry: 2.38 eV/f.u.



Below is an optimized crystal structure of Be2TlMo, with properties calculated at the PBE-GGA level.

POSCAR file:
```
Be2TlMo
1.0
4.327 -1.436 0.000
4.327 1.436 0.000
-0.636 0.000 5.045
Be Tl Mo
2 1 1
Direct
0.231 0.231 0.149 Be
0.769 0.769 0.851 Be
0.000 0.000 0.500 Tl
0.500 0.500 0.000 Mo
```

## Properties
- Energy of formation: 0.5381 eV per atom
- Final energy: -18.50 eV for the cell shown
- Energy above the lowest structure with this stoichiometry: 0.53 eV/f.u.



Below is an optimized crystal structure of BeTl2Mo, with properties calculated at the PBE-GGA level.

POSCAR file:
```
BeTl2Mo
1.0
0.000 3.361 3.361
3.361 0.000 3.361
3.361 3.361 0.000
Be Tl Mo
1 2 1
Direct
0.000 0.000 0.000 Be
0.250 0.250 0.250 Tl
0.750 0.750 0.750 Tl
0.500 0.500 0.500 Mo
```

## Properties
- Energy of formation: 1.1133 eV per atom
- Final energy: -14.84 eV for the cell shown
- Energy above the lowest structure with this stoichiometry: 2.20 eV/f.u.



Below is an optimized crystal structure of Be2TlMo, with properties calculated at the PBE-GGA level.

POSCAR file:
```
Be2TlMo
1.0
2.869 0.000 0.000
0.000 3.766 0.000
0.000 0.000 5.561
Be Tl Mo
2 1 1
Direct
0.000 0.000 0.000 Be
0.000 0.500 0.189 Be
0.000 0.000 0.499 Tl
0.500 0.500 0.828 Mo
```

## Properties
- Energy of formation: 0.5160 eV per atom
- Final energy: -18.59 eV for the cell shown
- Energy above the lowest structure with this stoichiometry: 0.44 eV/f.u.



Below is an optimized crystal structure of BeTl2Mo, with properties calculated at the PBE-GGA level.

POSCAR file:
```
BeTl2Mo
1.0
4.491 0.000 0.000
0.000 4.491 0.000
0.000 0.000 3.700
Be Tl Mo
1 2 1
Direct
0.000 0.000 0.000 Be
0.000 0.500 0.500 Tl
0.500 0.000 0.500 Tl
0.500 0.500 0.000 Mo
```

## Properties
- Energy of formation: 0.8934 eV per atom
- Final energy: -15.72 eV for the cell shown
- Energy above the lowest structure with this stoichiometry: 1.32 eV/f.u.



Below is an optimized crystal structure of BeTl2Mo, with properties calculated at the PBE-GGA level.

POSCAR file:
```
BeTl2Mo
1.0
1.989 -2.196 0.000
1.989 2.196 0.000
0.000 0.000 9.475
Be Tl Mo
1 2 1
Direct
0.000 0.000 0.000 Be
0.000 0.000 0.593 Tl
0.500 0.500 0.240 Tl
0.500 0.500 0.853 Mo
```

## Properties
- Energy of formation: 0.5837 eV per atom
- Final energy: -16.95 eV for the cell shown
- Energy above the lowest structure with this stoichiometry: 0.08 eV/f.u.



Below is an optimized crystal structure of Be2TlMo, with properties calculated at the PBE-GGA level.

POSCAR file:
```
Be2TlMo
1.0
1.471 0.849 8.413
-1.471 0.849 8.413
0.000 -1.698 8.413
Be Tl Mo
2 1 1
Direct
0.242 0.242 0.242 Be
0.758 0.758 0.758 Be
0.000 0.000 0.000 Tl
0.500 0.500 0.500 Mo
```

## Properties
- Energy of formation: 0.7080 eV per atom
- Final energy: -17.82 eV for the cell shown
- Energy above the lowest structure with this stoichiometry: 1.21 eV/f.u.



Below is an optimized crystal structure of BeTl2Mo, with properties calculated at the PBE-GGA level.

POSCAR file:
```
BeTl2Mo
1.0
2.982 0.000 0.000
0.000 2.982 0.000
0.000 0.000 8.605
Be Tl Mo
1 2 1
Direct
0.000 0.000 0.000 Be
0.500 0.500 0.232 Tl
0.500 0.500 0.768 Tl
0.000 0.000 0.500 Mo
```

## Properties
- Energy of formation: 0.9753 eV per atom
- Final energy: -15.39 eV for the cell shown
- Energy above the lowest structure with this stoichiometry: 1.65 eV/f.u.